# 1
Entry from the Alexandria database: TaTlZn4 after structural relaxation (GGA-PBE).

- Total moment: 2.19 μB/cell
- DFT total energy: -68.40 eV for the cell shown

a b c (Å): 7.415 7.415 7.415
angles (deg): 90.00 90.00 90.00
Space group F-43m (No. 216)
Asymmetric unit:
Ta 0.000 0.000 0.000 [4 per cell]
Tl 0.250 0.250 0.750 [4 per cell]
Zn 0.127 0.127 0.373 [16 per cell]

=====

# 2
Entry from the Alexandria database: NiOs2Pd after structural relaxation (GGA-PBE).

- Total moment: 0.00 μB/cell
- DFT total energy: -124.04 eV for the cell shown
- Energy above the lowest structure with this stoichiometry: 0 meV/atom

a b c (Å): 6.054 6.054 6.054
angles (deg): 90.00 90.00 90.00
Space group Fm-3m (No. 225)
Asymmetric unit:
Ni 0.000 0.000 0.000 [4 per cell]
Os 0.250 0.250 0.250 [8 per cell]
Pd 0.000 0.000 0.500 [4 per cell]

=====

# 3
Entry from the Alexandria database: CrB6H16 after structural relaxation (GGA-PBE).

- Total moment: 2.00 μB/cell
- DFT total energy: -103.32 eV for the cell shown
- Energy above the lowest structure with this stoichiometry: 41 meV/atom

a b c (Å): 4.008 5.290 10.141
angles (deg): 77.11 79.05 69.76
Space group P-1 (No. 2)
Asymmetric unit:
Cr 0.000 0.000 0.000 [1 per cell]
B 0.095 0.028 0.563 [2 per cell]
B 0.477 0.639 0.937 [2 per cell]
B 0.498 0.303 0.898 [2 per cell]
H 0.036 0.256 0.581 [2 per cell]
H 0.188 0.791 0.883 [2 per cell]
H 0.210 0.016 0.433 [2 per cell]
H 0.221 0.235 0.906 [2 per cell]
H 0.222 0.894 0.141 [2 per cell]
H 0.276 0.316 0.141 [2 per cell]
H 0.285 0.835 0.630 [2 per cell]
H 0.484 0.424 0.781 [2 per cell]

=====

# 4
Entry from the Alexandria database: LiLaSe2 after structural relaxation (GGA-PBE).

- Total moment: 0.00 μB/cell
- Energy relative to the elements, uncorrected: -1.58 eV/atom
- DFT total energy: -80.48 eV for the cell shown

a b c (Å): 7.202 7.202 7.202
angles (deg): 90.00 90.00 90.00
Space group Fm-3m (No. 225)
Asymmetric unit:
Li 0.000 0.000 0.000 [4 per cell]
La 0.000 0.000 0.500 [4 per cell]
Se 0.250 0.250 0.250 [8 per cell]

=====

# 5
Entry from the Alexandria database: YMgCu after structural relaxation (GGA-PBE).

- Total moment: 0.00 μB/cell
- DFT total energy: -24.93 eV for the cell shown
- Energy above the lowest structure with this stoichiometry: 116 meV/atom

a b c (Å): 3.315 3.315 11.803
angles (deg): 90.00 90.00 90.00
Space group I4mm (No. 107)
Asymmetric unit:
Y 0.000 0.000 0.000 [2 per cell]
Mg 0.000 0.000 0.716 [2 per cell]
Cu 0.000 0.000 0.347 [2 per cell]

=====

# 6
Entry from the Alexandria database: Zn2RuRh after structural relaxation (GGA-PBE).

- Total moment: 0.00 μB/cell
- DFT total energy: -19.48 eV for the cell shown

a b c (Å): 2.761 2.761 7.491
angles (deg): 90.00 90.00 90.00
Space group P4mm (No. 99)
Asymmetric unit:
Zn 0.000 0.000 0.000 [1 per cell]
Zn 0.500 0.500 0.269 [1 per cell]
Ru 0.500 0.500 0.752 [1 per cell]
Rh 0.000 0.000 0.515 [1 per cell]

=====

> Number 6 is which compound?

Zn2RuRh